Record 1
Pm3MgRu2 | PBE | relaxed

```
Pm3MgRu2
1.0
3.497 0.000 0.000
0.000 3.497 0.000
0.000 0.000 11.866
Pm Mg Ru
3 1 2
direct
0.000 0.000 0.000 Pm
0.000 0.000 0.293 Pm
0.000 0.000 0.707 Pm
0.500 0.500 0.500 Mg
0.500 0.500 0.154 Ru
0.500 0.500 0.846 Ru
```

Space-group type   P4/mmm, No. 123
Magnetization   0.0 μB per formula unit
Energy   -35.455 eV/cell
Crystal system   tetragonal


Record 2
Pm4Mg5Ru2 | PBE | relaxed

```
Pm4Mg5Ru2
1.0
7.870 0.000 0.000
0.000 3.786 0.000
-0.776 0.000 9.807
Pm Mg Ru
4 5 2
direct
0.174 0.000 0.345 Pm
0.205 0.000 0.947 Pm
0.795 0.000 0.053 Pm
0.826 0.000 0.655 Pm
0.176 0.500 0.656 Mg
0.446 0.500 0.172 Mg
0.500 0.500 0.500 Mg
0.554 0.500 0.828 Mg
0.824 0.500 0.344 Mg
0.076 0.500 0.147 Ru
0.924 0.500 0.853 Ru
```

Space-group type   P2/m, No. 10
Magnetization   0.0 μB per formula unit
Energy   -47.011 eV/cell
Crystal system   monoclinic


Record 3
Pm4MgRu | PBE | relaxed

```
Pm4MgRu
1.0
0.000 7.019 7.019
7.019 0.000 7.019
7.019 7.019 0.000
Pm Mg Ru
16 4 4
direct
0.032 0.656 0.656 Pm
0.062 0.062 0.438 Pm
0.062 0.438 0.062 Pm
0.062 0.438 0.438 Pm
0.188 0.188 0.812 Pm
0.188 0.812 0.188 Pm
0.188 0.812 0.812 Pm
0.438 0.062 0.062 Pm
0.438 0.062 0.438 Pm
0.438 0.438 0.062 Pm
0.656 0.032 0.656 Pm
0.656 0.656 0.032 Pm
0.656 0.656 0.656 Pm
0.812 0.188 0.188 Pm
0.812 0.188 0.812 Pm
0.812 0.812 0.188 Pm
0.421 0.421 0.421 Mg
0.421 0.421 0.736 Mg
0.421 0.736 0.421 Mg
0.736 0.421 0.421 Mg
0.414 0.862 0.862 Ru
0.862 0.414 0.862 Ru
0.862 0.862 0.414 Ru
0.862 0.862 0.862 Ru
```

Energy relative to the lowest polymorph listed for this composition   0.000 eV/atom
Space-group type   F-43m, No. 216
Magnetization   0.0 μB per formula unit
Energy   -124.201 eV/cell
Crystal system   cubic


Record 4
Pm4MgRu2 | PBE | relaxed

```
Pm4MgRu2
1.0
7.365 0.000 0.000
2.284 7.047 0.000
2.044 -0.237 7.218
Pm Mg Ru
8 2 4
direct
0.000 0.000 0.000 Pm
0.017 0.476 0.998 Pm
0.071 0.952 0.522 Pm
0.211 0.387 0.452 Pm
0.433 0.650 0.100 Pm
0.514 0.134 0.846 Pm
0.597 0.930 0.346 Pm
0.765 0.362 0.403 Pm
0.393 0.626 0.694 Mg
0.790 0.686 0.679 Mg
0.243 0.105 0.197 Ru
0.600 0.269 0.144 Ru
0.796 0.330 0.777 Ru
0.992 0.713 0.290 Ru
```

Space-group type   P1, No. 1
Magnetization   0.0 μB per formula unit
Energy   -80.321 eV/cell
Crystal system   triclinic


Record 5
Pm3Mg5Ru2 | PBE | relaxed

```
Pm3Mg5Ru2
1.0
-5.264 7.291 3.144
5.264 -7.291 3.144
5.264 7.291 -3.144
Pm Mg Ru
6 10 4
direct
0.175 0.214 0.389 Pm
0.250 0.250 0.000 Pm
0.325 0.714 0.040 Pm
0.675 0.286 0.960 Pm
0.750 0.750 0.000 Pm
0.825 0.786 0.611 Pm
0.053 0.750 0.303 Mg
0.075 0.720 0.795 Mg
0.250 0.750 0.500 Mg
0.425 0.220 0.645 Mg
0.447 0.750 0.697 Mg
0.553 0.250 0.303 Mg
0.575 0.780 0.355 Mg
0.750 0.250 0.500 Mg
0.925 0.280 0.205 Mg
0.947 0.250 0.697 Mg
0.161 0.940 0.101 Ru
0.339 0.440 0.780 Ru
0.661 0.560 0.220 Ru
0.839 0.060 0.899 Ru
```

Space-group type   Ibam, No. 72
Magnetization   0.0 μB per formula unit
Energy   -82.726 eV/cell
Crystal system   orthorhombic


Record 6
Pm12MgRu7 | PBE | relaxed

```
Pm12MgRu7
1.0
7.133 4.118 2.937
-7.133 4.118 2.937
0.000 -8.236 2.937
Pm Mg Ru
12 1 7
direct
0.091 0.296 0.390 Pm
0.138 0.667 0.303 Pm
0.296 0.390 0.091 Pm
0.303 0.138 0.667 Pm
0.333 0.697 0.862 Pm
0.390 0.091 0.296 Pm
0.610 0.909 0.704 Pm
0.667 0.303 0.138 Pm
0.697 0.862 0.333 Pm
0.704 0.610 0.909 Pm
0.862 0.333 0.697 Pm
0.909 0.704 0.610 Pm
0.000 0.000 0.000 Mg
0.024 0.925 0.298 Ru
0.075 0.702 0.976 Ru
0.298 0.024 0.925 Ru
0.500 0.500 0.500 Ru
0.702 0.976 0.075 Ru
0.925 0.298 0.024 Ru
0.976 0.075 0.702 Ru
```

Space-group type   R-3, No. 148
Magnetization   0.0 μB per formula unit
Energy   -126.319 eV/cell
Crystal system   trigonal


What did the sixth record say?
Pm12MgRu7 | PBE | relaxed

```
Pm12MgRu7
1.0
7.133 4.118 2.937
-7.133 4.118 2.937
0.000 -8.236 2.937
Pm Mg Ru
12 1 7
direct
0.091 0.296 0.390 Pm
0.138 0.667 0.303 Pm
0.296 0.390 0.091 Pm
0.303 0.138 0.667 Pm
0.333 0.697 0.862 Pm
0.390 0.091 0.296 Pm
0.610 0.909 0.704 Pm
0.667 0.303 0.138 Pm
0.697 0.862 0.333 Pm
0.704 0.610 0.909 Pm
0.862 0.333 0.697 Pm
0.909 0.704 0.610 Pm
0.000 0.000 0.000 Mg
0.024 0.925 0.298 Ru
0.075 0.702 0.976 Ru
0.298 0.024 0.925 Ru
0.500 0.500 0.500 Ru
0.702 0.976 0.075 Ru
0.925 0.298 0.024 Ru
0.976 0.075 0.702 Ru
```

Space-group type   R-3, No. 148
Magnetization   0.0 μB per formula unit
Energy   -126.319 eV/cell
Crystal system   trigonal


Q: energy of number 1 (Pm3MgRu2)?
A: -35.455 eV/cell


Please write out number 4 again, unchanged.
Pm4MgRu2 | PBE | relaxed

```
Pm4MgRu2
1.0
7.365 0.000 0.000
2.284 7.047 0.000
2.044 -0.237 7.218
Pm Mg Ru
8 2 4
direct
0.000 0.000 0.000 Pm
0.017 0.476 0.998 Pm
0.071 0.952 0.522 Pm
0.211 0.387 0.452 Pm
0.433 0.650 0.100 Pm
0.514 0.134 0.846 Pm
0.597 0.930 0.346 Pm
0.765 0.362 0.403 Pm
0.393 0.626 0.694 Mg
0.790 0.686 0.679 Mg
0.243 0.105 0.197 Ru
0.600 0.269 0.144 Ru
0.796 0.330 0.777 Ru
0.992 0.713 0.290 Ru
```

Space-group type   P1, No. 1
Magnetization   0.0 μB per formula unit
Energy   -80.321 eV/cell
Crystal system   triclinic